Record 1
Here is a geometry-optimized NaNpMn2O6 structure from Alexandria via LeMat-Bulk. Energies are from PBE with a Hubbard U.

Geometry as POSCAR:
```
NaNpMn2O6
1.0
5.345 0.000 0.000
2.547 4.868 0.000
2.357 1.821 5.023
Na Np Mn O
1 1 2 6
direct
0.000 0.000 0.000 Na
0.515 0.512 0.436 Np
0.206 0.186 0.380 Mn
0.736 0.724 0.820 Mn
0.121 0.817 0.611 O
0.315 0.538 0.188 O
0.424 0.114 0.633 O
0.568 0.895 0.165 O
0.768 0.441 0.656 O
0.913 0.333 0.182 O
```

Values from the calculation:
SG: P1 (1)

Record 2
Here is a geometry-optimized Na2NpMnO4 structure from Alexandria via LeMat-Bulk. Energies are from PBE with a Hubbard U.

Geometry as POSCAR:
```
Na2NpMnO4
1.0
5.674 0.000 0.000
0.000 3.409 0.000
-1.838 0.000 5.582
Na Np Mn O
2 1 1 4
direct
0.000 0.000 0.000 Na
0.500 0.500 0.000 Na
0.000 0.500 0.500 Np
0.500 0.000 0.500 Mn
0.235 0.000 0.718 O
0.256 0.500 0.291 O
0.744 0.500 0.709 O
0.765 0.000 0.282 O
```

Values from the calculation:
SG: P2/m (10)

What total DFT energy (no corrections) values result from the calculations? In sequence: -8.0059, -7.4725 eV/atom.
What DOS(E_F) values result from the calculations? In sequence: 1.213, 6.238 states/eV per cell.